[1]
Entry from Alexandria: a relaxed structure of Pm2MgNiO5 (PBE+U).

Cell lengths 5.5595, 6.5605, 6.5605 Å; angles 90.00, 90.00, 90.00 degrees
Fractional positions:
1 Mg 0.0000 0.5000 0.5000
2 Mg 0.0000 0.0000 0.0000
3 O 0.2331 0.8579 0.3579
4 O 0.7669 0.3579 0.1421
5 O 0.7669 0.1421 0.6421
6 O 0.2331 0.3579 0.1421
7 O 0.7669 0.8579 0.3579
8 O 0.5000 0.0000 0.0000
9 O 0.7669 0.6421 0.8579
10 O 0.2331 0.6421 0.8579
11 O 0.5000 0.5000 0.5000
12 O 0.2331 0.1421 0.6421
13 Pm 0.5000 0.8282 0.6718
14 Pm 0.5000 0.3282 0.8282
15 Pm 0.5000 0.6718 0.1718
16 Pm 0.5000 0.1718 0.3282
17 Ni 0.0000 0.0000 0.5000
18 Ni 0.0000 0.5000 0.0000

Properties
Its mass density is 6.287 g/cm3. For the total energy, the calculation gives -6.563 eV per atom.


[2]
Entry from Alexandria: a relaxed structure of PrMgNi2O6 (PBE+U).

Cell lengths 5.2427, 5.4328, 7.5030 Å; angles 90.00, 90.00, 90.00 degrees
Last column: magnetic moment on the atom in μB.
Fractional positions:
1 O 0.8089 0.5538 0.3066  -0.18
2 O 0.8686 0.2695 0.0000  -0.20
3 O 0.2284 0.9831 0.1924  -0.25
4 O 0.3686 0.7305 0.5000  -0.20
5 O 0.2284 0.9831 0.8076  -0.25
6 O 0.8089 0.5538 0.6934  -0.18
7 O 0.3089 0.4462 0.8066  -0.18
8 O 0.0773 0.1971 0.5000  -0.23
9 O 0.7284 0.0169 0.6924  -0.25
10 O 0.5773 0.8029 0.0000  -0.23
11 O 0.7284 0.0169 0.3076  -0.25
12 O 0.3089 0.4462 0.1934  -0.18
13 Ni 0.4985 0.7513 0.2516  1.23
14 Ni 0.4985 0.7513 0.7484  1.23
15 Ni 0.9985 0.2487 0.2484  1.23
16 Ni 0.9985 0.2487 0.7516  1.23
17 Mg 0.9718 0.8135 0.5000  0.00
18 Mg 0.4718 0.1865 0.0000  0.00
19 Pr 0.5111 0.2985 0.5000  0.01
20 Pr 0.0111 0.7015 0.0000  0.01

Properties
Its mass density is 5.884 g/cm3. For the total energy, the calculation gives -5.765 eV per atom.


[3]
Entry from Alexandria: a relaxed structure of Mg3Ni3PtO8 (PBE+U).

Cell lengths 6.0458, 6.0461, 6.0080 Å; angles 120.20, 90.00, 120.00 degrees
Last column: magnetic moment on the atom in μB.
Fractional positions:
1 O 0.2486 0.4972 0.2458  0.10
2 O 0.2395 0.9994 0.7388  0.06
3 O 0.2401 0.0006 0.2612  0.06
4 O 0.7514 0.5028 0.7542  0.10
5 O 0.7606 0.5212 0.2612  0.06
6 O 0.7605 0.0006 0.2612  0.06
7 O 0.7599 0.9994 0.7388  0.06
8 O 0.2394 0.4788 0.7388  0.06
9 Ni 0.5000 0.0000 0.5000  1.77
10 Ni 0.0000 0.5000 0.5000  1.77
11 Ni 0.5000 0.5000 0.5000  1.77
12 Pt 0.0000 0.0000 0.5000  -0.01
13 Mg 0.0000 0.5000 0.0000  0.01
14 Mg 0.0000 0.0000 0.0000  0.01
15 Mg 0.5000 0.5000 0.0000  0.01

Properties
Its mass density is 6.136 g/cm3. For the total energy, the calculation gives -5.507 eV per atom.


[4]
Entry from Alexandria: a relaxed structure of Pu2MgNiO8 (PBE+U).

Cell lengths 6.5865, 6.5865, 6.5865 Å; angles 127.23, 127.23, 77.88 degrees
Last column: magnetic moment on the atom in μB.
Fractional positions:
1 O 0.8394 0.1100 0.7294  -0.14
2 O 0.8883 0.6427 0.2456  0.03
3 O 0.3806 0.1100 0.2706  -0.14
4 O 0.8900 0.6194 0.7294  -0.14
5 O 0.3573 0.1117 0.7544  0.03
6 O 0.8900 0.1606 0.2706  -0.14
7 O 0.3573 0.6029 0.2456  0.03
8 O 0.3971 0.6427 0.7544  0.03
9 Ni 0.2500 0.7500 0.5000  2.04
10 Pu 0.5000 0.5000 0.0000  3.75
11 Pu 0.7500 0.2500 0.5000  2.60
12 Mg 0.0000 0.0000 0.0000  0.00

Properties
Its mass density is 6.611 g/cm3. For the total energy, the calculation gives -7.787 eV per atom.


[5]
Entry from Alexandria: a relaxed structure of PuMg2NiO6 (PBE+U).

Cell lengths 5.2939, 5.2936, 5.6564 Å; angles 62.10, 62.10, 60.00 degrees
Last column: magnetic moment on the atom in μB.
Fractional positions:
1 O 0.4203 0.7108 0.7615  -0.06
2 O 0.2135 0.9234 0.2573  -0.05
3 O 0.9235 0.6058 0.2573  -0.05
4 O 0.7108 0.1074 0.7614  -0.06
5 O 0.6058 0.2134 0.2573  -0.05
6 O 0.1074 0.4203 0.7615  -0.06
7 Ni 0.8170 0.8170 0.5491  1.74
8 Mg 0.5249 0.5248 0.4254  0.00
9 Mg 0.0193 0.0194 0.9419  0.00
10 Pu 0.3192 0.3192 0.0424  2.61

Properties
Its mass density is 6.430 g/cm3. For the total energy, the calculation gives -7.251 eV per atom.


[6]
Entry from Alexandria: a relaxed structure of PuMgNi2O6 (PBE+U).

Cell lengths 4.1059, 5.8831, 5.8831 Å; angles 90.00, 90.00, 90.00 degrees
Last column: magnetic moment on the atom in μB.
Fractional positions:
1 O 0.7439 0.2485 0.2485  -0.02
2 O 0.7439 0.2485 0.7515  -0.02
3 O 0.7439 0.7515 0.7515  -0.02
4 O 0.2115 0.5000 0.5000  0.46
5 O 0.7439 0.7515 0.2485  -0.02
6 O 0.2273 0.0000 0.0000  -0.11
7 Mg 0.7055 0.5000 0.5000  -0.01
8 Ni 0.8005 0.5000 0.0000  1.66
9 Ni 0.8005 0.0000 0.5000  1.66
10 Pu 0.7260 0.0000 0.0000  2.61

Properties
Its mass density is 5.628 g/cm3. For the total energy, the calculation gives -6.556 eV per atom.


Repeat the first record exactly.
Entry from Alexandria: a relaxed structure of Pm2MgNiO5 (PBE+U).

Cell lengths 5.5595, 6.5605, 6.5605 Å; angles 90.00, 90.00, 90.00 degrees
Fractional positions:
1 Mg 0.0000 0.5000 0.5000
2 Mg 0.0000 0.0000 0.0000
3 O 0.2331 0.8579 0.3579
4 O 0.7669 0.3579 0.1421
5 O 0.7669 0.1421 0.6421
6 O 0.2331 0.3579 0.1421
7 O 0.7669 0.8579 0.3579
8 O 0.5000 0.0000 0.0000
9 O 0.7669 0.6421 0.8579
10 O 0.2331 0.6421 0.8579
11 O 0.5000 0.5000 0.5000
12 O 0.2331 0.1421 0.6421
13 Pm 0.5000 0.8282 0.6718
14 Pm 0.5000 0.3282 0.8282
15 Pm 0.5000 0.6718 0.1718
16 Pm 0.5000 0.1718 0.3282
17 Ni 0.0000 0.0000 0.5000
18 Ni 0.0000 0.5000 0.0000

Properties
Its mass density is 6.287 g/cm3. For the total energy, the calculation gives -6.563 eV per atom.